#a
# ScBrCl2 SCAN PBEsol geometry
# * total magnetization: 0.00 μB/atom
# * calculated volume: 27.6 A^3/atom
data_ScBrCl2
_cell_length_a 11.941
_cell_length_b 3.361
_cell_length_c 6.430
_cell_angle_alpha 90.00
_cell_angle_beta 121.01
_cell_angle_gamma 90.00
_space_group_name_H-M_alt 'C 1 m 1'
_space_group_IT_number 8
loop_
_space_group_symop_operation_xyz
'x,y,z'
'x,-y,z'
'x+1/2,y+1/2,z'
'x+1/2,-y+1/2,z'
loop_
_atom_site_label
_atom_site_fract_x
_atom_site_fract_y
_atom_site_fract_z
_atom_site_occupancy
Sc1 0.000 0.000 0.000 1
Br1 0.171 0.500 0.327 1
Cl1 0.006 0.500 0.719 1
Cl2 0.344 0.000 0.995 1

***

#b
# ScBrCl2 SCAN PBEsol geometry
# * total magnetization: 0.00 μB/atom
# * calculated volume: 19.4 A^3/atom
data_ScBrCl2
_cell_length_a 6.772
_cell_length_b 6.772
_cell_length_c 6.772
_cell_angle_alpha 90.00
_cell_angle_beta 90.00
_cell_angle_gamma 90.00
_space_group_name_H-M_alt 'F -4 3 m'
_space_group_IT_number 216
_space_group_name_Hall 'F -4 2 3'
loop_
_atom_site_label
_atom_site_fract_x
_atom_site_fract_y
_atom_site_fract_z
_atom_site_occupancy
Sc1 0.000 0.000 0.000 1
Br1 0.250 0.250 0.750 1
Cl1 0.000 0.000 0.500 1
Cl2 0.250 0.250 0.250 1

***

Question: of the structures shown, which is the most stable? Reply: #a.